1.
The following is a DFT calculation (PBE) of crystalline Tm2ZnAg3 at its relaxed geometry.

Results
Electronic total energy (eV per atom): -3.41
Total moment (μB per atom): 0.000
Crystal system: orthorhombic

Lattice parameters (Å, degrees): 6.617 9.379 16.212 90.00 90.00 90.00
Space group Fmmm (No. 69)
Inequivalent atoms, fractional coordinates:
Tm 0.249 0.000 0.000 x8
Tm 0.250 0.250 0.250 x8
Zn 0.000 0.000 0.333 x8
Ag 0.000 0.000 0.170 x8
Ag 0.000 0.244 0.415 x16


2.
The following is a DFT calculation (PBE) of crystalline TmZn5Ag7 at its relaxed geometry.

Results
Electronic total energy (eV per atom): -2.50
Total moment (μB per atom): 0.000
Crystal system: orthorhombic

Lattice parameters (Å, degrees): 5.232 9.252 9.349 90.00 90.00 90.00
Space group Imm2 (No. 44)
Inequivalent atoms, fractional coordinates:
Tm 0.000 0.000 0.000 x2
Zn 0.000 0.500 0.725 x2
Zn 0.249 0.252 0.756 x8
Ag 0.000 0.000 0.343 x2
Ag 0.000 0.000 0.652 x2
Ag 0.000 0.297 0.509 x4
Ag 0.000 0.345 0.004 x4
Ag 0.000 0.500 0.284 x2


3.
The following is a DFT calculation (PBE) of crystalline Tm5Zn4Ag at its relaxed geometry.

Results
Electronic total energy (eV per atom): -3.38
Total moment (μB per atom): 0.000
Crystal system: tetragonal

Lattice parameters (Å, degrees): 3.536 3.536 17.624 90.00 90.00 90.00
Space group P4/mmm (No. 123)
Inequivalent atoms, fractional coordinates:
Tm 0.000 0.000 0.000 x1
Tm 0.000 0.000 0.198 x2
Tm 0.000 0.000 0.396 x2
Zn 0.500 0.500 0.100 x2
Zn 0.500 0.500 0.296 x2
Ag 0.500 0.500 0.500 x1


Number 3 is which compound?
Tm5Zn4Ag


total moment of number 1 (Tm2ZnAg3)?
0.000 μB per atom